Below is a geometry-optimized LaHf3Co structure, with properties calculated at the PBE level.

Structure (POSCAR):
```
LaHf3Co
1.0
5.070 0.000 0.000
0.000 5.070 0.000
0.000 0.000 5.070
Hf Co La
3 1 1
Direct
0.000 0.500 0.000
0.500 0.000 0.000
0.000 0.000 0.500
0.500 0.500 0.500
0.000 0.000 0.000
```

Values from the calculation:
ρ	9.3	g/cm3
SG	Pm-3m (221)
energy relative to the lowest polymorph listed for this composition	1966	meV per atom
energy relative to the elements	2.039	eV/atom

Below is a geometry-optimized LaHfCo structure, with properties calculated at the PBE level.

Structure (POSCAR):
```
LaHfCo
1.0
4.561 0.000 0.000
0.000 4.561 0.000
0.000 0.000 6.402
Co La Hf
2 2 2
Direct
0.500 0.000 0.695
0.000 0.500 0.305
0.000 0.500 0.891
0.500 0.000 0.109
0.500 0.500 0.500
0.000 0.000 0.500
```

Values from the calculation:
ρ	9.4	g/cm3
SG	P4/nmm (129)
energy relative to the elements	-0.239	eV/atom

Below is a geometry-optimized La2HfCo structure, with properties calculated at the PBE level.

Structure (POSCAR):
```
La2HfCo
1.0
8.265 0.000 0.000
0.000 8.265 0.000
4.132 4.132 3.021
Co La Hf
2 4 2
Direct
0.500 0.500 0.000
0.250 0.750 0.500
0.375 0.443 0.750
0.557 0.125 0.250
0.193 0.625 0.250
0.875 0.807 0.750
0.750 0.250 0.500
0.000 0.000 0.000
```

Values from the calculation:
ρ	8.3	g/cm3
SG	I-42d (122)
energy relative to the lowest polymorph listed for this composition	0	meV per atom
energy relative to the elements	0.350	eV/atom

Below is a geometry-optimized LaHf3Co structure, with properties calculated at the PBE level.

Structure (POSCAR):
```
LaHf3Co
1.0
4.918 0.000 0.000
0.000 4.918 0.000
0.000 0.000 4.918
Hf La Co
3 1 1
Direct
0.000 0.500 0.000
0.500 0.000 0.000
0.000 0.000 0.500
0.500 0.500 0.500
0.000 0.000 0.000
```

Values from the calculation:
ρ	10.2	g/cm3
SG	Pm-3m (221)
energy relative to the lowest polymorph listed for this composition	0	meV per atom
energy relative to the elements	0.073	eV/atom

Below is a geometry-optimized La2HfCo2 structure, with properties calculated at the PBE level.

Structure (POSCAR):
```
La2HfCo2
1.0
-3.981 4.221 -4.070
-5.610 -4.173 1.159
-1.050 2.383 3.498
La Co Hf
4 4 2
Direct
0.665 0.835 0.500
0.165 0.665 0.500
0.335 0.165 0.500
0.835 0.335 0.500
0.648 0.148 0.000
0.148 0.352 0.000
0.852 0.648 0.000
0.352 0.852 0.000
0.000 0.000 0.000
0.500 0.500 0.000
```

Values from the calculation:
ρ	8.7	g/cm3
SG	P4/mbm (127)
energy relative to the elements	0.005	eV/atom

Below is a geometry-optimized LaHf2CoN structure, with properties calculated at the PBE level.

Structure (POSCAR):
```
LaHf2CoN
1.0
-2.272 2.656 -3.825
2.314 -2.129 -2.853
-3.703 -3.611 -0.309
Hf N Co La
2 1 1 1
Direct
0.500 0.000 0.000
0.000 0.000 0.500
0.500 0.500 0.500
0.000 0.500 0.000
0.000 0.000 0.000
```

Values from the calculation:
ρ	8.3	g/cm3
uncorrected formation energy	2.48	eV per atom
SG	P4/mmm (123)
energy relative to the lowest polymorph listed for this composition	2878	meV per atom

Below is a geometry-optimized LaHf2CoN structure, with properties calculated at the PBE level.

Structure (POSCAR):
```
LaHf2CoN
1.0
-0.710 -4.276 0.034
4.599 -0.779 -1.987
1.681 -0.248 3.988
Co La Hf N
1 1 2 1
Direct
0.500 0.500 0.500
0.000 0.500 0.000
0.000 0.000 0.500
0.500 0.000 0.000
0.000 0.000 0.000
```

Values from the calculation:
ρ	9.9	g/cm3
uncorrected formation energy	-0.40	eV per atom
SG	P4/mmm (123)
energy relative to the lowest polymorph listed for this composition	0	meV per atom

Below is a geometry-optimized LaHfNb2Co structure, with properties calculated at the PBE level.

Structure (POSCAR):
```
LaHfNb2Co
1.0
5.051 0.000 0.000
0.000 4.669 0.000
0.000 0.000 5.051
Hf Nb La Co
1 2 1 1
Direct
0.000 0.000 0.000
0.000 0.000 0.500
0.500 0.000 0.000
0.500 0.500 0.500
0.000 0.500 0.000
```

Values from the calculation:
ρ	7.8	g/cm3
SG	P4/mmm (123)
energy relative to the elements	1.035	eV/atom

Below is a geometry-optimized LaHf2NbCo structure, with properties calculated at the PBE level.

Structure (POSCAR):
```
LaHf2NbCo
1.0
-3.941 -2.566 1.302
1.833 -3.980 -2.297
2.238 -1.347 4.121
Co La Hf Nb
1 1 2 1
Direct
0.000 0.000 0.000
0.000 0.500 0.000
0.500 0.000 0.000
0.000 0.000 0.500
0.500 0.500 0.500
```

Values from the calculation:
ρ	9.1	g/cm3
SG	P4/mmm (123)
energy relative to the elements	0.543	eV/atom